1.
Computed, not measured: an optimized crystal structure of SrCdBr2 at the GGA-PBE level of DFT.

The structure in POSCAR format:
```
SrCdBr2
1.0
4.3797 0.0000 0.0000
0.0000 4.3797 0.0000
0.0000 0.0000 6.5936
Br Sr Cd
2 1 1
Cartesian
2.1899 2.1899 1.8761 Br
0.0000 0.0000 6.4029 Br
2.1899 2.1899 5.2539 Sr
0.0000 0.0000 2.9513 Cd
```

Calculated values
Formation energy (no corrections) (eV/atom): -1.154


2.
Computed, not measured: an optimized crystal structure of HAuSe2 at the GGA-PBE level of DFT.

The structure in POSCAR format:
```
HAuSe2
1.0
1.8107 0.0000 7.8601
-0.9053 1.5681 7.8601
-0.9053 -1.5681 7.8601
H Se Au
1 2 1
Cartesian
0.0000 0.0000 11.7902 H
0.0000 0.0000 21.0817 Se
0.0000 0.0000 2.4986 Se
0.0000 0.0000 0.0000 Au
```

Calculated values
VASP energy (eV/atom): -2.819
D(E_F) (states/eV/atom): 0.4642


3.
Computed, not measured: an optimized crystal structure of TiCoTe2Pd at the GGA-PBE level of DFT.

The structure in POSCAR format:
```
TiCoTe2Pd
1.0
5.2442 0.0000 0.0000
0.0000 4.7396 0.0000
0.0000 0.0000 5.2442
Ti Pd Te Co
1 1 2 1
Cartesian
0.0000 2.3698 0.0000 Ti
0.0000 0.0000 0.0000 Pd
0.0000 0.0000 2.6221 Te
2.6221 0.0000 0.0000 Te
2.6221 2.3698 2.6221 Co
```

Calculated values
Formation energy (no corrections) (eV/atom): 0.902
D(E_F) (states/eV/atom): 2.2880


4.
Computed, not measured: an optimized crystal structure of LiAcYCd at the GGA-PBE level of DFT.

The structure in POSCAR format:
```
LiAcYCd
1.0
5.5311 0.0000 0.0000
2.7656 4.7901 0.0000
2.7656 1.5967 4.5162
Ac Y Cd Li
1 1 1 1
Cartesian
2.7656 1.5967 1.1290 Ac
8.2967 4.7901 3.3871 Y
0.0000 0.0000 0.0000 Cd
5.5311 3.1934 2.2581 Li
```

Calculated values
D(E_F) (states/eV/atom): 1.3369
Calculated formation energy (eV per atom): -0.095


5.
Computed, not measured: an optimized crystal structure of Tl4CrBr at the GGA-PBE level of DFT.

The structure in POSCAR format:
```
Tl4CrBr
1.0
0.0000 4.5505 4.5505
4.5505 0.0000 4.5505
4.5505 4.5505 0.0000
Cr Tl Br
1 4 1
Cartesian
0.0000 0.0000 0.0000 Cr
5.6899 3.4112 5.6899 Tl
3.4112 5.6899 5.6899 Tl
3.4112 3.4112 3.4112 Tl
5.6899 5.6899 3.4112 Tl
6.8258 6.8258 6.8258 Br
```

Calculated values
Formation energy (no corrections) (eV/atom): 0.350
D(E_F) (states/eV/atom): 0.6393


6.
Computed, not measured: an optimized crystal structure of K2LiCd at the GGA-PBE level of DFT.

The structure in POSCAR format:
```
K2LiCd
1.0
5.0898 0.0000 0.0000
0.0000 5.1739 0.0083
0.0000 2.5702 6.5762
K Cd Li
2 1 1
Cartesian
2.5449 2.2575 2.0989 K
0.0000 7.4222 6.0654 K
2.5449 4.8387 4.8168 Cd
0.0000 4.8418 3.4802 Li
```

Calculated values
D(E_F) (states/eV/atom): 0.6889
Calculated formation energy (eV per atom): 0.027


7.
Computed, not measured: an optimized crystal structure of PmS2ClO8 at the GGA-PBE level of DFT.

The structure in POSCAR format:
```
PmS2ClO8
1.0
-0.9176 6.0610 -1.0553
-3.7855 -4.2128 -2.5719
-3.4791 0.2839 4.6557
O Cl S Pm
8 1 2 1
Cartesian
-4.5559 -0.6473 0.2438 O
-4.6470 -0.2449 2.6340 O
-3.6264 2.7795 0.7847 O
-6.4697 0.4714 1.2283 O
-3.5352 2.3771 -1.6056 O
-1.7125 1.6608 -0.1998 O
-6.1141 -1.8776 1.6373 O
-2.0681 4.0097 -0.6088 O
-1.7396 0.1420 2.3279 Cl
-2.7593 2.7087 -0.3756 S
-5.4229 -0.5766 1.4041 S
0.0000 0.0000 0.0000 Pm
```

Calculated values
Formation energy (no corrections) (eV/atom): -1.505
D(E_F) (states/eV/atom): 0.7119


8.
Computed, not measured: an optimized crystal structure of SrLiSeBr at the GGA-PBE level of DFT.

The structure in POSCAR format:
```
SrLiSeBr
1.0
-3.7343 -0.4332 -2.3522
0.2024 -0.9573 -4.3252
-1.4896 -14.2059 0.8011
Se Sr Li Br
2 2 2 2
Cartesian
-2.3928 -2.6080 -4.0813 Se
-2.6287 -12.9884 -1.7949 Se
-3.6109 -4.8679 -5.9115 Sr
-1.4106 -10.7285 0.0352 Sr
-3.8250 -14.2905 -3.8360 Li
-1.1964 -1.3059 -2.0403 Li
-1.2930 -5.5535 -1.1047 Br
-3.7285 -10.0429 -4.7716 Br
```

Calculated values
Formation energy (no corrections) (eV/atom): -1.769
D(E_F) (states/eV/atom): 0.0000